A plane-wave DFT calculation with GGA-PBE was carried out for a relaxed structure of Be4GaNi5.

Cell lengths 2.627, 2.627, 13.918 Å; angles 90.00, 90.00, 90.00 degrees
Fractional coordinates of all 10 atoms:
Be1 0.000 0.000 0.221
Be2 0.000 0.000 0.407
Be3 0.000 0.000 0.593
Be4 0.000 0.000 0.779
Ga1 0.000 0.000 0.000
Ni1 0.500 0.500 0.126
Ni2 0.500 0.500 0.314
Ni3 0.500 0.500 0.500
Ni4 0.500 0.500 0.686
Ni5 0.500 0.500 0.874

- SG: P4/mmm, No. 123
- E_form: -441 meV/atom
- M_tot: 0.0 μB per formula unit
- E: -5.12 eV per atom


A plane-wave DFT calculation with GGA-PBE was carried out for a relaxed structure of RbYTe2N.

Cell lengths 6.098, 6.098, 4.654 Å; angles 90.00, 90.00, 90.00 degrees
Fractional coordinates of all 5 atoms:
Y1 0.000 0.000 0.000
Te1 0.000 0.500 0.000
Te2 0.500 0.000 0.000
Rb1 0.500 0.500 0.500
N1 0.000 0.000 0.500

- SG: P4/mmm, No. 123
- Relative energy among the computed polymorphs: 0.000 eV/atom
- E_form (uncorrected): -1.48 eV/f.u.
- M_tot: 2.6 μB per formula unit
- E: -4.70 eV per atom


A plane-wave DFT calculation with GGA-PBE was carried out for a relaxed structure of Ho4SbPt.

Cell lengths 4.032, 8.188, 19.185 Å; angles 90.00, 90.00, 90.00 degrees
Fractional coordinates of all 24 atoms:
Ho1 0.750 0.867 0.653
Ho2 0.250 0.133 0.347
Ho3 0.250 0.633 0.153
Ho4 0.750 0.367 0.847
Ho5 0.750 0.855 0.446
Ho6 0.250 0.145 0.554
Ho7 0.250 0.645 0.946
Ho8 0.750 0.355 0.054
Ho9 0.750 0.017 0.932
Ho10 0.250 0.983 0.068
Ho11 0.250 0.483 0.432
Ho12 0.750 0.517 0.568
Ho13 0.750 0.957 0.216
Ho14 0.250 0.043 0.784
Ho15 0.250 0.543 0.716
Ho16 0.750 0.457 0.284
Sb1 0.750 0.745 0.813
Sb2 0.250 0.255 0.187
Sb3 0.250 0.755 0.313
Sb4 0.750 0.245 0.687
Pt1 0.750 0.227 0.448
Pt2 0.250 0.773 0.552
Pt3 0.250 0.273 0.948
Pt4 0.750 0.727 0.052

- SG: Pnma, No. 62
- Relative energy among the computed polymorphs: 0.000 eV/atom
- E_form (uncorrected): -5.13 eV/f.u.
- M_tot: 0.0 μB per formula unit
- E: -5.60 eV per atom